Ga3SbSe: relaxed, GGA-PBE.

Results
V (A^3/atom): 26.92
Formation energy (no corrections) (eV/atom): 0.321
Energy relative to the lowest polymorph listed for this composition (meV per atom): 0.0

Unit cell a=5.1247 b=5.1247 c=5.1247 alpha=90.00 beta=90.00 gamma=90.00
Sites, in units of the cell vectors:
Ga  0.0000  0.5000  0.0000
Ga  0.0000  0.0000  0.5000
Ga  0.5000  0.0000  0.0000
Sb  0.5000  0.5000  0.5000
Se  0.0000  0.0000  0.0000